PBEsol KLi2P, relaxed; total magnetic moment = 0.0 μB/cell; energy relative to the elements = -0.53 eV per atom; total DFT energy (no corrections) = -3.25 eV per atom
1.0
2.140 1.236 5.436
-2.140 1.236 5.436
0.000 -2.471 5.436
K Li P
1 2 1
Cartesian
0.000 0.000 0.000
0.000 0.000 3.065
0.000 0.000 13.243
0.000 0.000 8.154

---

PBEsol La3FeSiS7, relaxed; total magnetic moment = 6.0 μB/cell; DOS at the Fermi energy = 0.176 states/eV/atom; total DFT energy (no corrections) = -6.73 eV per atom
1.0
10.251 0.000 0.000
-5.125 8.877 0.000
0.000 0.000 5.589
La Fe Si S
6 2 2 14
Cartesian
-2.659 6.816 0.000
0.552 3.167 0.000
3.018 1.105 2.795
2.107 7.772 0.000
4.573 5.711 2.795
7.784 2.061 2.795
0.000 0.000 1.403
0.000 0.000 4.197
0.000 5.918 2.336
5.125 2.959 5.131
-3.498 7.509 2.857
-1.529 4.643 1.562
0.371 2.094 2.857
1.999 0.725 0.063
0.000 5.918 4.427
-0.340 7.880 1.562
1.869 5.232 1.562
3.257 3.646 4.357
5.465 0.998 4.357
5.125 2.959 1.632
3.127 8.152 2.857
4.754 6.784 0.063
6.654 4.234 4.357
8.623 1.369 0.063

---

PBEsol NbAsIr2, relaxed; total magnetic moment = 0.0 μB/cell; energy relative to the elements = 0.33 eV per atom; DOS at the Fermi energy = 0.430 states/eV/atom; total DFT energy (no corrections) = -8.56 eV per atom
1.0
-2.802 2.802 5.530
2.802 -2.802 5.530
2.802 2.802 -5.530
Nb As Ir
2 2 4
Cartesian
0.000 0.000 0.000
0.000 2.802 2.765
2.802 0.000 2.765
0.000 0.000 5.530
1.401 -1.286 4.148
1.516 1.401 1.383
1.401 4.088 -1.383
1.286 1.401 6.913

---

PBEsol Y2RuPt, relaxed; total magnetic moment = 0.0 μB/cell; energy relative to the elements = -0.76 eV per atom; DOS at the Fermi energy = 0.257 states/eV/atom; total DFT energy (no corrections) = -8.45 eV per atom
1.0
3.411 0.000 0.000
0.000 3.411 0.000
0.000 0.000 6.724
Y Ru Pt
2 1 1
Cartesian
0.000 0.000 1.641
0.000 0.000 5.084
1.705 1.705 0.000
1.705 1.705 3.362

---

PBEsol SnPRuS2, relaxed; total magnetic moment = 0.0 μB/cell; DOS at the Fermi energy = 0.903 states/eV/atom; total DFT energy (no corrections) = -5.57 eV per atom
1.0
4.770 0.000 0.000
0.000 4.770 0.000
0.000 0.000 4.334
Sn P Ru S
1 1 1 2
Cartesian
0.000 0.000 0.000
2.385 2.385 0.000
2.385 2.385 2.167
0.000 2.385 2.167
2.385 0.000 2.167

---

PBEsol Li2MnTc, relaxed; total magnetic moment = 0.5 μB/cell; energy relative to the elements = 0.34 eV per atom; DOS at the Fermi energy = 0.728 states/eV/atom; excess energy over the best structure of this formula in the dataset = 95 meV/atom; total DFT energy (no corrections) = -5.90 eV per atom
1.0
4.157 -1.198 0.000
4.157 1.198 0.000
-0.108 0.000 5.186
Li Mn Tc
2 1 1
Cartesian
0.000 0.000 0.000
1.979 0.000 4.025
4.145 0.000 2.487
6.172 0.000 1.561

---

PBEsol SrLaAg2, relaxed; total magnetic moment = 0.0 μB/cell; energy relative to the elements = -0.06 eV per atom; DOS at the Fermi energy = 0.708 states/eV/atom; total DFT energy (no corrections) = -3.51 eV per atom
1.0
2.200 1.270 7.458
-2.200 1.270 7.458
0.000 -2.540 7.458
Sr La Ag
1 1 2
Cartesian
0.000 0.000 0.000
0.000 0.000 11.187
0.000 0.000 5.484
0.000 0.000 16.890

---

PBEsol InHgPb2, relaxed; total magnetic moment = 0.0 μB/cell; energy relative to the elements = 0.00 eV per atom; DOS at the Fermi energy = 0.425 states/eV/atom; excess energy over the best structure of this formula in the dataset = 3 meV/atom; total DFT energy (no corrections) = -2.88 eV per atom
1.0
5.608 -1.717 0.000
5.608 1.717 0.000
-1.560 0.000 5.563
In Hg Pb
1 1 2
Cartesian
0.000 0.000 0.000
1.878 0.000 4.111
5.030 0.000 2.907
8.138 0.000 1.260

---

- The highest total magnetic moment belongs to which entry?
  La3FeSiS7